VIrOs | GGA-PBE | optimized geometry

As for the total moment: 0.00 μB/f.u. The distance to the lowest polymorph of the same formula comes out at 167 meV per atom. The calculation puts the formation enthalpy at 0 K at -0.123 eV/atom.

The space group is P-6m2 (No. 187) and the conventional cell measures 4.2801, 4.2801 and 2.6857 Å, with angles of 90.00, 90.00 and 120.00 degrees. The inequivalent atoms are V at (0.0000, 0.0000, 0.0000), Ir at (0.3333, 0.6667, 0.5000) and Os at (0.6667, 0.3333, 0.0000).